# 1
An optimized crystal structure of NbTeCl9, computed with GGA-PBE.

## Properties
* excess energy over the best structure of this formula in the dataset: 0 meV/atom
* energy relative to the elements, uncorrected: -91.8 kJ per mole of atoms
* uncorrected energy: -3.664 eV per atom

Lattice parameters (Å, degrees): 12.015 12.015 20.990 108.16 108.16 33.89
Positions (direct):
Nb 0.069 0.649 0.628
Nb 0.351 0.931 0.872
Nb 0.649 0.069 0.128
Nb 0.931 0.351 0.372
Te 0.224 0.612 0.834
Te 0.388 0.776 0.666
Te 0.612 0.224 0.334
Te 0.776 0.388 0.166
Cl 0.026 0.802 0.925
Cl 0.047 0.878 0.649
Cl 0.103 0.427 0.625
Cl 0.106 0.172 0.267
Cl 0.119 0.244 0.932
Cl 0.122 0.953 0.851
Cl 0.172 0.106 0.767
Cl 0.198 0.974 0.575
Cl 0.244 0.119 0.432
Cl 0.251 0.479 0.538
Cl 0.259 0.382 0.818
Cl 0.382 0.259 0.318
Cl 0.383 0.439 0.707
Cl 0.405 0.538 0.399
Cl 0.427 0.103 0.125
Cl 0.439 0.383 0.207
Cl 0.462 0.595 0.101
Cl 0.479 0.251 0.038
Cl 0.521 0.749 0.962
Cl 0.538 0.405 0.899
Cl 0.561 0.617 0.793
Cl 0.573 0.897 0.875
Cl 0.595 0.462 0.601
Cl 0.617 0.561 0.293
Cl 0.618 0.741 0.682
Cl 0.741 0.618 0.182
Cl 0.749 0.521 0.462
Cl 0.756 0.881 0.568
Cl 0.802 0.026 0.425
Cl 0.828 0.894 0.233
Cl 0.878 0.047 0.149
Cl 0.881 0.756 0.068
Cl 0.894 0.828 0.733
Cl 0.897 0.573 0.375
Cl 0.953 0.122 0.351
Cl 0.974 0.198 0.075



# 2
An optimized crystal structure of BaCr2Se, computed with GGA-PBE.

## Properties
* energy relative to the elements, uncorrected: 48.6 kJ per mole of atoms
* uncorrected energy: -5.660 eV per atom

Lattice parameters (Å, degrees): 7.616 7.616 7.616 90.00 90.00 90.00
Positions (direct):
Ba 0.000 0.000 0.000
Ba 0.000 0.500 0.500
Ba 0.500 0.000 0.500
Ba 0.500 0.500 0.000
Cr 0.000 0.000 0.500
Cr 0.000 0.500 0.000
Cr 0.250 0.250 0.250
Cr 0.250 0.750 0.750
Cr 0.500 0.000 0.000
Cr 0.500 0.500 0.500
Cr 0.750 0.250 0.750
Cr 0.750 0.750 0.250
Se 0.250 0.250 0.750
Se 0.250 0.750 0.250
Se 0.750 0.250 0.250
Se 0.750 0.750 0.750



# 3
An optimized crystal structure of CaMgInIr, computed with GGA-PBE.

## Properties
* uncorrected energy: -4.044 eV per atom
* energy relative to the elements: -0.98 eV/f.u.

Lattice parameters (Å, degrees): 6.826 6.826 6.826 90.00 90.00 90.00
Positions (direct):
Ca 0.000 0.000 0.000
Ca 0.000 0.500 0.500
Ca 0.500 0.000 0.500
Ca 0.500 0.500 0.000
Mg 0.250 0.250 0.250
Mg 0.250 0.750 0.750
Mg 0.750 0.250 0.750
Mg 0.750 0.750 0.250
In 0.250 0.250 0.750
In 0.250 0.750 0.250
In 0.750 0.250 0.250
In 0.750 0.750 0.750
Ir 0.000 0.000 0.500
Ir 0.000 0.500 0.000
Ir 0.500 0.000 0.000
Ir 0.500 0.500 0.500



# 4
An optimized crystal structure of FeRe2Hg, computed with GGA-PBE.

## Properties
* excess energy over the best structure of this formula in the dataset: 198 meV/atom
* uncorrected energy: -7.847 eV per atom
* energy relative to the elements: 2.27 eV/f.u.

Lattice parameters (Å, degrees): 2.803 3.811 5.898 90.00 90.00 90.00
Positions (direct):
Fe 0.000 0.000 0.000
Re 0.500 0.500 0.202
Re 0.500 0.500 0.798
Hg 0.000 0.000 0.500



# 5
An optimized crystal structure of Na3NdU2Se6, computed with GGA-PBE.

## Properties
* energy relative to the elements, uncorrected: -129.1 kJ per mole of atoms
* uncorrected energy: -5.688 eV per atom

Lattice parameters (Å, degrees): 7.252 7.252 7.462 99.33 99.33 120.01
Positions (direct):
Na 0.000 0.000 0.000
Na 0.335 0.665 0.000
Na 0.665 0.335 0.000
Nd 0.500 0.500 0.500
U 0.167 0.833 0.500
U 0.833 0.167 0.500
Se 0.081 0.421 0.265
Se 0.238 0.238 0.736
Se 0.421 0.081 0.265
Se 0.579 0.919 0.735
Se 0.762 0.762 0.264
Se 0.919 0.579 0.735



# 6
An optimized crystal structure of RbAs2Cl, computed with GGA-PBE.

## Properties
* excess energy over the best structure of this formula in the dataset: 1088 meV/atom
* energy relative to the elements, uncorrected: 57.0 kJ per mole of atoms
* uncorrected energy: -2.438 eV per atom

Lattice parameters (Å, degrees): 7.581 7.581 7.581 90.00 90.00 90.00
Positions (direct):
Rb 0.000 0.000 0.000
Rb 0.000 0.500 0.500
Rb 0.500 0.000 0.500
Rb 0.500 0.500 0.000
As 0.250 0.250 0.250
As 0.250 0.250 0.750
As 0.250 0.750 0.250
As 0.250 0.750 0.750
As 0.750 0.250 0.250
As 0.750 0.250 0.750
As 0.750 0.750 0.250
As 0.750 0.750 0.750
Cl 0.000 0.000 0.500
Cl 0.000 0.500 0.000
Cl 0.500 0.000 0.000
Cl 0.500 0.500 0.500



# 7
An optimized crystal structure of TlSeN2Cl, computed with GGA-PBE.

## Properties
* excess energy over the best structure of this formula in the dataset: 133 meV/atom
* energy relative to the elements, uncorrected: 189.9 kJ per mole of atoms
* uncorrected energy: -2.901 eV per atom

Lattice parameters (Å, degrees): 4.271 4.271 5.193 90.00 90.00 90.00
Positions (direct):
Tl 0.000 0.000 0.000
Se 0.500 0.500 0.000
N 0.000 0.500 0.500
N 0.500 0.000 0.500
Cl 0.500 0.500 0.500



# 8
An optimized crystal structure of Cd2GaRe2, computed with GGA-PBE.

## Properties
* excess energy over the best structure of this formula in the dataset: 327 meV/atom
* uncorrected energy: -5.178 eV per atom
* energy relative to the elements: 3.86 eV/f.u.

Lattice parameters (Å, degrees): 8.663 8.663 2.673 90.00 90.00 90.00
Positions (direct):
Cd 0.191 0.309 0.000
Cd 0.309 0.809 0.000
Cd 0.691 0.191 0.000
Cd 0.809 0.691 0.000
Ga 0.000 0.000 0.000
Ga 0.500 0.500 0.000
Re 0.099 0.599 0.500
Re 0.401 0.099 0.500
Re 0.599 0.901 0.500
Re 0.901 0.401 0.500



# 9
An optimized crystal structure of NdSmDy2Y6, computed with GGA-PBE.

## Properties
* uncorrected energy: -5.627 eV per atom
* energy relative to the elements: 1.20 eV/f.u.

Lattice parameters (Å, degrees): 8.808 8.808 9.692 94.37 94.37 117.26
Positions (direct):
Nd 0.093 0.907 0.750
Nd 0.907 0.093 0.250
Sm 0.475 0.525 0.250
Sm 0.525 0.475 0.750
Dy 0.206 0.307 0.953
Dy 0.307 0.206 0.453
Dy 0.693 0.794 0.547
Dy 0.794 0.693 0.047
Y 0.008 0.795 0.382
Y 0.071 0.521 0.182
Y 0.205 0.992 0.118
Y 0.251 0.619 0.557
Y 0.381 0.749 0.943
Y 0.479 0.929 0.318
Y 0.521 0.071 0.682
Y 0.619 0.251 0.057
Y 0.749 0.381 0.443
Y 0.795 0.008 0.882
Y 0.929 0.479 0.818
Y 0.992 0.205 0.618



# 10
An optimized crystal structure of Ac3La2Sm7, computed with GGA-PBE.

## Properties
* uncorrected energy: -4.371 eV per atom
* energy relative to the elements: 2.77 eV/f.u.

Lattice parameters (Å, degrees): 3.816 5.922 20.690 90.00 95.17 90.00
Positions (direct):
Ac 0.000 0.000 0.000
Ac 0.315 0.500 0.627
Ac 0.685 0.500 0.373
La 0.138 0.000 0.282
La 0.862 0.000 0.718
Sm 0.081 0.500 0.171
Sm 0.218 0.000 0.435
Sm 0.432 0.000 0.859
Sm 0.500 0.500 0.000
Sm 0.568 0.000 0.141
Sm 0.782 0.000 0.565
Sm 0.919 0.500 0.829



# 11
An optimized crystal structure of ZrPa2Hg, computed with GGA-PBE.

## Properties
* excess energy over the best structure of this formula in the dataset: 0 meV/atom
* uncorrected energy: -6.949 eV per atom
* energy relative to the elements: 0.04 eV/f.u.

Lattice parameters (Å, degrees): 3.103 3.103 9.846 90.00 90.00 90.00
Positions (direct):
Zr 0.000 0.000 0.000
Pa 0.000 0.000 0.513
Pa 0.500 0.500 0.253
Hg 0.500 0.500 0.770



# 12
An optimized crystal structure of Zn4CuNi2, computed with GGA-PBE.

## Properties
* uncorrected energy: -3.103 eV per atom
* energy relative to the elements: -0.96 eV/f.u.

Lattice parameters (Å, degrees): 5.883 5.883 5.564 90.00 90.00 90.00
Positions (direct):
Zn 0.250 0.250 0.250
Zn 0.250 0.250 0.750
Zn 0.250 0.750 0.250
Zn 0.250 0.750 0.750
Zn 0.750 0.250 0.250
Zn 0.750 0.250 0.750
Zn 0.750 0.750 0.250
Zn 0.750 0.750 0.750
Cu 0.000 0.000 0.000
Cu 0.500 0.500 0.500
Ni 0.000 0.500 0.000
Ni 0.000 0.500 0.500
Ni 0.500 0.000 0.000
Ni 0.500 0.000 0.500



Number 1 is which compound? NbTeCl9



Look up the uncorrected energy of the twelfth one. -3.103 eV per atom



uncorrected energy of number 10 (Ac3La2Sm7)? -4.371 eV per atom



What did the eleventh record say?
An optimized crystal structure of ZrPa2Hg, computed with GGA-PBE.

## Properties
* excess energy over the best structure of this formula in the dataset: 0 meV/atom
* uncorrected energy: -6.949 eV per atom
* energy relative to the elements: 0.04 eV/f.u.

Lattice parameters (Å, degrees): 3.103 3.103 9.846 90.00 90.00 90.00
Positions (direct):
Zr 0.000 0.000 0.000
Pa 0.000 0.000 0.513
Pa 0.500 0.500 0.253
Hg 0.500 0.500 0.770